VASP calculation (GGA-PBE) on a relaxed ScBeVCl2 crystal.

Structure (POSCAR):
```
ScBeVCl2
1.0
-2.771 1.951 -2.594
0.133 -4.504 -3.530
-3.244 -1.769 2.135
Sc Cl Be V
1 2 1 1
Direct
0.500 0.500 0.500
0.000 0.000 0.500
0.500 0.000 0.000
0.000 0.000 0.000
0.000 0.500 0.000
```

Values from the calculation:
Energy relative to the elements, uncorrected, eV per atom: 0.361
Calculated total energy, eV per atom: -4.2130
Crystal system: tetragonal
Space-group type: P4/mmm

***

VASP calculation (GGA-PBE) on a relaxed BeSe2Cl crystal.

Structure (POSCAR):
```
BeSe2Cl
1.0
5.042 0.000 0.000
0.000 5.042 0.000
0.000 0.000 2.894
Be Se Cl
1 2 1
Direct
0.500 0.000 0.500
0.500 0.500 0.000
0.000 0.000 0.000
0.000 0.500 0.500
```

Values from the calculation:
Energy relative to the elements, uncorrected, eV per atom: 0.712
Calculated total energy, eV per atom: -2.4230
Crystal system: tetragonal
Space-group type: P4/mmm
Energy above the lowest structure with this stoichiometry, kJ per mole of atoms: 110.4